Entry 1:
Th6Si2OsS3: relaxed, PBE.

As for the uncorrected formation energy: -14.23 eV/f.u.

a = 4.1497 Å, b = 8.3585 Å, c = 9.2667 Å
α = 101.59°, β = 102.94°, γ = 90.00°
Positions (direct):
Th: 0.3377 0.9172 0.6755
Th: 0.6674 0.5836 0.3349
Th: 0.6623 0.0828 0.3245
Th: 0.9993 0.2362 0.9986
Th: 0.0007 0.7638 0.0014
Th: 0.3326 0.4164 0.6651
Si: 0.8341 0.6649 0.6682
Si: 0.1659 0.3351 0.3318
Os: 0.5000 0.0000 0.0000
S: 0.5000 0.5000 0.0000
S: 0.8296 0.1655 0.6591
S: 0.1704 0.8345 0.3409

---

Entry 2:
LaAg3Au: relaxed, PBE.

The calculation puts the energy above the lowest structure with this stoichiometry at 44 meV per atom. The value obtained for the formation energy is -28.3 kJ/mol of atoms.

a = 4.1374 Å, b = 4.1398 Å, c = 7.2594 Å
α = 73.58°, β = 73.58°, γ = 90.04°
Positions (direct):
La: 0.4104 0.2140 0.8847
Ag: 0.6500 0.9546 0.4041
Ag: 0.1511 0.4533 0.4044
Ag: 0.7951 0.5986 0.1163
Au: 0.0012 0.8047 0.7015

---

Entry 3:
NdSmWN4: relaxed, PBE.

As for the uncorrected formation energy: -7.41 eV/f.u.

a = 3.9583 Å, b = 3.9583 Å, c = 6.8440 Å
α = 106.81°, β = 106.81°, γ = 90.00°
Positions (direct):
Nd: 0.6452 0.6452 0.2904
Sm: 0.3542 0.3542 0.7084
W: 0.9979 0.9979 0.9959
N: 0.9999 0.4999 0.9998
N: 0.4999 0.9999 0.9998
N: 0.8349 0.8349 0.6697
N: 0.1680 0.1680 0.3361

---

Entry 4:
ReGeAs2Br: relaxed, PBE.

As for the uncorrected formation energy: 3.40 eV/f.u. The calculation puts the energy above the lowest structure with this stoichiometry at 0 meV per atom.

a = 4.7483 Å, b = 4.7483 Å, c = 5.5007 Å
α = 90.00°, β = 90.00°, γ = 90.00°
Positions (direct):
Re: 0.0000 0.0000 0.0000
As: 0.0000 0.5000 0.0000
As: 0.5000 0.0000 0.0000
Ge: 0.5000 0.5000 0.5000
Br: 0.0000 0.0000 0.5000

---

Entry 5:
HgRuS2: relaxed, PBE.

As for the uncorrected formation energy: 1.56 eV/f.u.

a = 11.1324 Å, b = 11.1324 Å, c = 11.1324 Å
α = 14.70°, β = 14.70°, γ = 14.70°
Positions (direct):
Ru: 0.0000 0.0000 0.0000
S: 0.9323 0.9323 0.9323
S: 0.0677 0.0677 0.0677
Hg: 0.5000 0.5000 0.5000

---

Entry 6:
SrTlRh3: relaxed, PBE.

The calculation puts the energy above the lowest structure with this stoichiometry at 762 meV per atom. The value obtained for the formation energy is 145.2 kJ/mol of atoms.

a = 5.0333 Å, b = 5.0333 Å, c = 5.0333 Å
α = 90.00°, β = 90.00°, γ = 90.00°
Positions (direct):
Sr: 0.0000 0.0000 0.0000
Tl: 0.5000 0.5000 0.5000
Rh: 0.0000 0.5000 0.0000
Rh: 0.0000 0.0000 0.5000
Rh: 0.5000 0.0000 0.0000

---

Entry 7:
PrNpI2: relaxed, PBE.

As for the uncorrected formation energy: -1.28 eV/f.u.

a = 3.8408 Å, b = 3.8408 Å, c = 11.3213 Å
α = 80.23°, β = 80.23°, γ = 60.00°
Positions (direct):
Np: 0.0000 0.0000 0.0000
Pr: 0.5000 0.5000 0.5000
I: 0.0960 0.0960 0.7121
I: 0.9040 0.9040 0.2879

---

Entry 8:
Cu2SbW: relaxed, PBE.

As for the uncorrected formation energy: 2.21 eV/f.u.

a = 8.7892 Å, b = 8.7892 Å, c = 8.7892 Å
α = 19.55°, β = 19.55°, γ = 19.55°
Positions (direct):
Cu: 0.9975 0.9975 0.9975
Cu: 0.2590 0.2590 0.2590
Sb: 0.5003 0.5003 0.5003
W: 0.7433 0.7433 0.7433

---

Please write out number 6 again, unchanged.
SrTlRh3: relaxed, PBE.

The calculation puts the energy above the lowest structure with this stoichiometry at 762 meV per atom. The value obtained for the formation energy is 145.2 kJ/mol of atoms.

a = 5.0333 Å, b = 5.0333 Å, c = 5.0333 Å
α = 90.00°, β = 90.00°, γ = 90.00°
Positions (direct):
Sr: 0.0000 0.0000 0.0000
Tl: 0.5000 0.5000 0.5000
Rh: 0.0000 0.5000 0.0000
Rh: 0.0000 0.0000 0.5000
Rh: 0.5000 0.0000 0.0000

---

Please write out number 8 again, unchanged.
Cu2SbW: relaxed, PBE.

As for the uncorrected formation energy: 2.21 eV/f.u.

a = 8.7892 Å, b = 8.7892 Å, c = 8.7892 Å
α = 19.55°, β = 19.55°, γ = 19.55°
Positions (direct):
Cu: 0.9975 0.9975 0.9975
Cu: 0.2590 0.2590 0.2590
Sb: 0.5003 0.5003 0.5003
W: 0.7433 0.7433 0.7433

---

> Which formula does entry 3 have?

NdSmWN4